Record 1
Computed, not measured: a geometry-optimized CeSm4Te7 structure at the PBE level of DFT.

Results
Total magnetization, μB per formula unit: 1.3
Theoretical density, g cm⁻³: 6.6
Formation energy from raw total energies, meV/atom: -1394
E, eV/cell: -63.5

The structure in CIF format:
```
data_CeSm4Te7
_cell_length_a 4.323
_cell_length_b 7.633
_cell_length_c 13.450
_cell_angle_alpha 103.87
_cell_angle_beta 90.00
_cell_angle_gamma 106.45
_symmetry_space_group_name_H-M 'P 1'
_symmetry_Int_Tables_number 1
_symmetry_space_group_name_Hall 'P 1'
loop_
_atom_site_label
_atom_site_type_symbol
_atom_site_fract_x
_atom_site_fract_y
_atom_site_fract_z
_atom_site_occupancy
Ce1 Ce 0.884 0.768 0.576 1
Sm1 Sm 0.700 0.400 0.813 1
Sm2 Sm 0.300 0.600 0.188 1
Sm3 Sm 0.000 0.000 0.001 1
Sm4 Sm 0.117 0.235 0.423 1
Te1 Te 0.741 0.481 0.346 1
Te2 Te 0.256 0.511 0.652 1
Te3 Te 0.339 0.679 0.953 1
Te4 Te 0.661 0.323 0.048 1
Te5 Te 0.039 0.077 0.786 1
Te6 Te 0.962 0.924 0.217 1
Te7 Te 0.501 0.002 0.497 1
```

Record 2
Computed, not measured: a geometry-optimized Ce3Sm4Te8 structure at the PBE level of DFT.

Results
Total magnetization, μB per formula unit: 3.8
Theoretical density, g cm⁻³: 6.8
Formation energy from raw total energies, meV/atom: -1418
E, eV/cell: -83.1

The structure in CIF format:
```
data_Ce3Sm4Te8
_cell_length_a 8.883
_cell_length_b 8.906
_cell_length_c 8.906
_cell_angle_alpha 90.05
_cell_angle_beta 119.90
_cell_angle_gamma 119.90
_symmetry_space_group_name_H-M 'P 1'
_symmetry_Int_Tables_number 1
_symmetry_space_group_name_Hall 'P 1'
loop_
_atom_site_label
_atom_site_type_symbol
_atom_site_fract_x
_atom_site_fract_y
_atom_site_fract_z
_atom_site_occupancy
Ce1 Ce 0.500 0.500 0.000 1
Ce2 Ce 0.500 0.000 0.500 1
Ce3 Ce 0.500 0.500 0.500 1
Sm1 Sm 0.500 0.000 0.000 1
Sm2 Sm 0.000 0.500 0.000 1
Sm3 Sm 0.000 0.000 0.000 1
Sm4 Sm 0.000 0.000 0.500 1
Te1 Te 0.507 0.252 0.252 1
Te2 Te 0.000 0.746 0.254 1
Te3 Te 0.998 0.253 0.253 1
Te4 Te 0.500 0.751 0.249 1
Te5 Te 0.500 0.249 0.751 1
Te6 Te 0.002 0.747 0.747 1
Te7 Te 0.000 0.254 0.746 1
Te8 Te 0.493 0.748 0.748 1
```

Record 3
Computed, not measured: a geometry-optimized CeSm4Te5 structure at the PBE level of DFT.

Results
Total magnetization, μB per formula unit: 1.3
Theoretical density, g cm⁻³: 7.3
Formation energy from raw total energies, meV/atom: -1385
E, eV/cell: -54.4
Excess energy over the best structure of this formula in the dataset, eV/atom: 0.000

The structure in CIF format:
```
data_CeSm4Te5
_cell_length_a 4.438
_cell_length_b 7.750
_cell_length_c 9.943
_cell_angle_alpha 75.02
_cell_angle_beta 77.10
_cell_angle_gamma 73.36
_symmetry_space_group_name_H-M 'P 1'
_symmetry_Int_Tables_number 1
_symmetry_space_group_name_Hall 'P 1'
loop_
_atom_site_label
_atom_site_type_symbol
_atom_site_fract_x
_atom_site_fract_y
_atom_site_fract_z
_atom_site_occupancy
Ce1 Ce 0.000 0.000 0.000 1
Sm1 Sm 0.599 0.200 0.601 1
Sm2 Sm 0.200 0.400 0.200 1
Sm3 Sm 0.800 0.600 0.800 1
Sm4 Sm 0.401 0.800 0.399 1
Te1 Te 0.202 0.899 0.697 1
Te2 Te 0.798 0.101 0.303 1
Te3 Te 0.399 0.303 0.899 1
Te4 Te 0.000 0.500 0.500 1
Te5 Te 0.601 0.697 0.101 1
```

Record 4
Computed, not measured: a geometry-optimized Ce6SmTe8 structure at the PBE level of DFT.

Results
Total magnetization, μB per formula unit: 7.3
Theoretical density, g cm⁻³: 6.6
Formation energy from raw total energies, meV/atom: -1392
E, eV/cell: -86.3

The structure in CIF format:
```
data_Ce6SmTe8
_cell_length_a 8.955
_cell_length_b 8.955
_cell_length_c 8.955
_cell_angle_alpha 60.00
_cell_angle_beta 60.00
_cell_angle_gamma 60.00
_symmetry_space_group_name_H-M 'P 1'
_symmetry_Int_Tables_number 1
_symmetry_space_group_name_Hall 'P 1'
loop_
_atom_site_label
_atom_site_type_symbol
_atom_site_fract_x
_atom_site_fract_y
_atom_site_fract_z
_atom_site_occupancy
Ce1 Ce 0.000 0.500 0.500 1
Ce2 Ce 0.500 0.000 0.000 1
Ce3 Ce 0.500 0.500 0.000 1
Ce4 Ce 0.000 0.000 0.500 1
Ce5 Ce 0.000 0.500 0.000 1
Ce6 Ce 0.500 0.000 0.500 1
Sm1 Sm 0.000 0.000 0.000 1
Te1 Te 0.750 0.750 0.750 1
Te2 Te 0.250 0.250 0.250 1
Te3 Te 0.747 0.253 0.253 1
Te4 Te 0.253 0.747 0.747 1
Te5 Te 0.253 0.253 0.747 1
Te6 Te 0.747 0.747 0.253 1
Te7 Te 0.747 0.253 0.747 1
Te8 Te 0.253 0.747 0.253 1
```